1.
Crystalline TaGe at its relaxed geometry, computed with PBE.

Unit cell a=5.8504 b=5.8504 c=5.8504 alpha=90.00 beta=90.00 gamma=90.00
Space group F-43m (No. 216)
Inequivalent atoms, fractional coordinates:
1 Ta 0.0000 0.0000 0.0000 [4 per cell]
2 Ge 0.2500 0.2500 0.2500 [4 per cell]

Output
E_form: 1.02 eV per atom
total magnetic moment: 0.00 μB per cell
V: 25.030 A^3/atom

---

2.
Crystalline TaGe at its relaxed geometry, computed with PBE.

Unit cell a=8.0462 b=8.0462 c=8.0462 alpha=90.00 beta=90.00 gamma=90.00
Space group I-43m (No. 217)
Inequivalent atoms, fractional coordinates:
1 Ta 0.1260 0.1260 0.8740 [8 per cell]
2 Ge 0.1877 0.1877 0.1877 [8 per cell]

Output
E_form: 0.87 eV per atom
total magnetic moment: 0.00 μB per cell
V: 32.557 A^3/atom

---

3.
Crystalline TaGe at its relaxed geometry, computed with PBE.

Unit cell a=7.3514 b=7.5316 c=10.3520 alpha=90.00 beta=90.00 gamma=90.00
Space group Fddd (No. 70, origin choice 2)
Inequivalent atoms, fractional coordinates:
1 Ta 0.1250 0.3258 0.1250 [16 per cell]
2 Ge 0.0767 0.3750 0.8750 [16 per cell]

Output
E_form: 0.08 eV per atom
total magnetic moment: 0.00 μB per cell
V: 17.912 A^3/atom

---

4.
Crystalline TaGe at its relaxed geometry, computed with PBE.

Unit cell a=8.1242 b=5.1239 c=5.0124 alpha=90.00 beta=90.00 gamma=90.00
Space group Pmn2_1 (No. 31)
Inequivalent atoms, fractional coordinates:
1 Ta 0.0000 0.1296 0.0000 [2 per cell]
2 Ta 0.1793 0.5948 0.2734 [4 per cell]
3 Ge 0.0000 0.6265 0.7798 [2 per cell]
4 Ge 0.1716 0.0875 0.4529 [4 per cell]

Output
E_form: -0.09 eV per atom
total magnetic moment: 0.00 μB per cell
V: 17.388 A^3/atom

---

5.
Crystalline Ta5Ge3 at its relaxed geometry, computed with PBE.

Unit cell a=10.1676 b=10.1676 c=5.1973 alpha=90.00 beta=90.00 gamma=90.00
Space group I4/mcm (No. 140)
Inequivalent atoms, fractional coordinates:
1 Ta 0.0000 0.5000 0.2500 [4 per cell]
2 Ta 0.0742 0.2234 0.0000 [16 per cell]
3 Ge 0.0000 0.0000 0.2500 [4 per cell]
4 Ge 0.1670 0.3330 0.5000 [8 per cell]

Output
E_form: -0.35 eV per atom
total magnetic moment: 0.00 μB per cell
distance to the lowest polymorph of the same formula: 15.9 meV per atom
V: 16.791 A^3/atom

---

6.
Crystalline Ta5Ge3 at its relaxed geometry, computed with PBE.

Unit cell a=6.6678 b=6.6678 c=12.1116 alpha=90.00 beta=90.00 gamma=90.00
Space group I4/mcm (No. 140)
Inequivalent atoms, fractional coordinates:
1 Ta 0.0000 0.0000 0.0000 [4 per cell]
2 Ta 0.1605 0.3395 0.1542 [16 per cell]
3 Ge 0.0000 0.0000 0.2500 [4 per cell]
4 Ge 0.1365 0.3635 0.5000 [8 per cell]

Output
E_form: -0.37 eV per atom
total magnetic moment: 0.00 μB per cell
distance to the lowest polymorph of the same formula: 0.0 meV per atom
V: 16.827 A^3/atom

---

7.
Crystalline TaGe at its relaxed geometry, computed with PBE.

Unit cell a=4.4778 b=4.4778 c=5.1195 alpha=90.00 beta=90.00 gamma=120.00
Space group P6_3/mmc (No. 194)
Inequivalent atoms, fractional coordinates:
1 Ta 0.3333 0.6667 0.2500 [2 per cell]
2 Ge 0.3333 0.6667 0.7500 [2 per cell]

Output
E_form: 0.37 eV per atom
total magnetic moment: 0.00 μB per cell
V: 22.225 A^3/atom

---

8.
Crystalline TaGe3 at its relaxed geometry, computed with PBE.

Unit cell a=2.9258 b=7.9229 c=6.2689 alpha=90.00 beta=90.00 gamma=90.00
Space group Imm2 (No. 44)
Inequivalent atoms, fractional coordinates:
1 Ta 0.0000 0.0000 0.0000 [2 per cell]
2 Ge 0.0000 0.3139 0.7971 [4 per cell]
3 Ge 0.0000 0.5000 0.1420 [2 per cell]

Output
E_form: -0.01 eV per atom
total magnetic moment: 0.00 μB per cell
V: 18.165 A^3/atom

---

9.
Crystalline Ta3Ge at its relaxed geometry, computed with PBE.

Unit cell a=10.3157 b=10.3157 c=5.2754 alpha=90.00 beta=90.00 gamma=90.00
Space group P4_2/n (No. 86, origin choice 2)
Inequivalent atoms, fractional coordinates:
1 Ta 0.0374 0.9381 0.2357 [8 per cell]
2 Ta 0.1004 0.2678 0.0296 [8 per cell]
3 Ta 0.1510 0.8352 0.7174 [8 per cell]
4 Ge 0.0464 0.2786 0.5331 [8 per cell]

Output
E_form: -0.28 eV per atom
total magnetic moment: 0.00 μB per cell
V: 17.543 A^3/atom

---

10.
Crystalline TaGe at its relaxed geometry, computed with PBE.

Unit cell a=3.5052 b=3.5052 c=5.5545 alpha=90.00 beta=90.00 gamma=90.00
Space group P4/nmm (No. 129, origin choice 2)
Inequivalent atoms, fractional coordinates:
1 Ta 0.2500 0.2500 0.1398 [2 per cell]
2 Ge 0.2500 0.2500 0.6408 [2 per cell]

Output
E_form: -0.18 eV per atom
total magnetic moment: 0.00 μB per cell
V: 17.061 A^3/atom

---

11.
Crystalline TaGe4 at its relaxed geometry, computed with PBE.

Unit cell a=5.0255 b=5.0255 c=5.0255 alpha=90.00 beta=90.00 gamma=90.00
Space group Pm-3m (No. 221)
Inequivalent atoms, fractional coordinates:
1 Ta 0.0000 0.0000 0.0000 [1 per cell]
2 Ge 0.0000 0.0000 0.5000 [3 per cell]
3 Ge 0.5000 0.5000 0.5000 [1 per cell]

Output
E_form: 0.65 eV per atom
total magnetic moment: 0.00 μB per cell
V: 25.384 A^3/atom

---

12.
Crystalline TaGe at its relaxed geometry, computed with PBE.

Unit cell a=2.9520 b=4.9536 c=5.0189 alpha=98.84 beta=104.53 gamma=99.85
Space group P-1 (No. 2)
Inequivalent atoms, fractional coordinates:
1 Ta 0.1568 0.3257 0.2277 [2 per cell]
2 Ge 0.3909 0.1582 0.7407 [2 per cell]

Output
E_form: -0.10 eV per atom
total magnetic moment: 0.00 μB per cell
V: 17.124 A^3/atom

---

13.
Crystalline Ta5Ge3 at its relaxed geometry, computed with PBE.

Unit cell a=7.6591 b=7.6591 c=5.3318 alpha=90.00 beta=90.00 gamma=120.00
Space group P6_3/mcm (No. 193)
Inequivalent atoms, fractional coordinates:
1 Ta 0.0000 0.2381 0.2500 [6 per cell]
2 Ta 0.3333 0.6667 0.0000 [4 per cell]
3 Ge 0.0000 0.3964 0.7500 [6 per cell]

Output
E_form: -0.28 eV per atom
total magnetic moment: 0.00 μB per cell
distance to the lowest polymorph of the same formula: 89.6 meV per atom
V: 16.930 A^3/atom

---

14.
Crystalline Tb2TaGe3 at its relaxed geometry, computed with PBE.

Unit cell a=3.8936 b=5.6380 c=12.1980 alpha=90.00 beta=90.00 gamma=90.00
Space group Immm (No. 71)
Inequivalent atoms, fractional coordinates:
1 Tb 0.0000 0.0000 0.1716 [4 per cell]
2 Ta 0.0000 0.0000 0.5000 [2 per cell]
3 Ge 0.0000 0.5000 0.1493 [4 per cell]
4 Ge 0.0000 0.5000 0.5000 [2 per cell]

Output
E_form: -0.50 eV per atom
total magnetic moment: 0.00 μB per cell
V: 22.314 A^3/atom

---

15.
Crystalline TbTa4Ge2 at its relaxed geometry, computed with PBE.

Unit cell a=3.7017 b=16.9228 c=4.3252 alpha=90.00 beta=90.00 gamma=90.00
Space group Cmmm (No. 65)
Inequivalent atoms, fractional coordinates:
1 Tb 0.0000 0.0000 0.0000 [2 per cell]
2 Ta 0.0000 0.1838 0.5000 [4 per cell]
3 Ta 0.0000 0.3212 0.0000 [4 per cell]
4 Ge 0.0000 0.4270 0.5000 [4 per cell]

Output
E_form: -0.32 eV per atom
total magnetic moment: 0.00 μB per cell
V: 19.353 A^3/atom

---

16.
Crystalline Tb2Ta3Ge4 at its relaxed geometry, computed with PBE.

Unit cell a=7.1646 b=7.1640 c=7.0502 alpha=90.00 beta=109.53 gamma=90.00
Space group P2_1/c (No. 14)
Inequivalent atoms, fractional coordinates:
1 Tb 0.1864 0.1706 0.0578 [4 per cell]
2 Ta 0.2559 0.6736 0.2463 [4 per cell]
3 Ta 0.5000 0.0000 0.5000 [2 per cell]
4 Ge 0.0857 0.5380 0.8572 [4 per cell]
5 Ge 0.4912 0.1319 0.8655 [4 per cell]

Output
E_form: -0.65 eV per atom
total magnetic moment: 0.00 μB per cell
V: 18.948 A^3/atom

---

17.
Crystalline TbTaGe2 at its relaxed geometry, computed with PBE.

Unit cell a=3.8891 b=3.8891 c=19.3888 alpha=90.00 beta=90.00 gamma=120.00
Space group R-3m (No. 166, hexagonal axes)
Inequivalent atoms, fractional coordinates:
1 Tb 0.0000 0.0000 0.0000 [3 per cell]
2 Ta 0.0000 0.0000 0.5000 [3 per cell]
3 Ge 0.0000 0.0000 0.2403 [6 per cell]

Output
E_form: -0.43 eV per atom
total magnetic moment: 0.00 μB per cell
V: 21.164 A^3/atom

---

18.
Crystalline Ta3TcGe at its relaxed geometry, computed with PBE.

Unit cell a=4.6763 b=4.6763 c=4.6763 alpha=90.00 beta=90.00 gamma=90.00
Space group Pm-3m (No. 221)
Inequivalent atoms, fractional coordinates:
1 Ta 0.0000 0.0000 0.5000 [3 per cell]
2 Tc 0.5000 0.5000 0.5000 [1 per cell]
3 Ge 0.0000 0.0000 0.0000 [1 per cell]

Output
E_form: 1.28 eV per atom
total magnetic moment: 0.96 μB per cell
distance to the lowest polymorph of the same formula: 137.7 meV per atom
V: 20.451 A^3/atom

---

19.
Crystalline TaTcGe3 at its relaxed geometry, computed with PBE.

Unit cell a=4.9703 b=4.9703 c=4.9703 alpha=90.00 beta=90.00 gamma=90.00
Space group Pm-3m (No. 221)
Inequivalent atoms, fractional coordinates:
1 Ta 0.0000 0.0000 0.0000 [1 per cell]
2 Tc 0.5000 0.5000 0.5000 [1 per cell]
3 Ge 0.0000 0.0000 0.5000 [3 per cell]

Output
E_form: 1.17 eV per atom
total magnetic moment: 4.03 μB per cell
distance to the lowest polymorph of the same formula: 113.9 meV per atom
V: 24.556 A^3/atom

---

20.
Crystalline TaTcGe3 at its relaxed geometry, computed with PBE.

Unit cell a=4.7484 b=4.7484 c=4.7484 alpha=90.00 beta=90.00 gamma=90.00
Space group Pm-3m (No. 221)
Inequivalent atoms, fractional coordinates:
1 Ta 0.0000 0.0000 0.0000 [1 per cell]
2 Tc 0.5000 0.5000 0.5000 [1 per cell]
3 Ge 0.0000 0.5000 0.5000 [3 per cell]

Output
E_form: 1.06 eV per atom
total magnetic moment: 2.19 μB per cell
distance to the lowest polymorph of the same formula: 0.0 meV per atom
V: 21.413 A^3/atom

---

21.
Crystalline TaTcGe4 at its relaxed geometry, computed with PBE.

Unit cell a=3.3547 b=3.3547 c=8.3706 alpha=90.00 beta=90.00 gamma=90.00
Space group P4/mmm (No. 123)
Inequivalent atoms, fractional coordinates:
1 Ta 0.0000 0.0000 0.0000 [1 per cell]
2 Tc 0.5000 0.5000 0.5000 [1 per cell]
3 Ge 0.0000 0.0000 0.3384 [2 per cell]
4 Ge 0.5000 0.5000 0.1655 [2 per cell]

Output
E_form: -0.15 eV per atom
total magnetic moment: 0.00 μB per cell
V: 15.700 A^3/atom

---

22.
Crystalline Ta3TcGe at its relaxed geometry, computed with PBE.

Unit cell a=4.8013 b=4.8013 c=4.8013 alpha=90.00 beta=90.00 gamma=90.00
Space group Pm-3m (No. 221)
Inequivalent atoms, fractional coordinates:
1 Ta 0.0000 0.0000 0.5000 [3 per cell]
2 Tc 0.0000 0.0000 0.0000 [1 per cell]
3 Ge 0.5000 0.5000 0.5000 [1 per cell]

Output
E_form: 1.14 eV per atom
total magnetic moment: 0.00 μB per cell
distance to the lowest polymorph of the same formula: 0.0 meV per atom
V: 22.136 A^3/atom